# ZrTlPb2 | Alexandria via LeMat-Bulk | GGA-PBEsol | relaxed
# total energy = -4.867 eV per atom
# M_tot = 0.00 μB per formula unit
# energy above the lowest structure with this stoichiometry = 12.9 kJ/mol of formula units
# ΔH_f (0 K) = 6.0 kJ/mol of atoms
data_ZrTlPb2
_cell_length_a 4.7880
_cell_length_b 4.7880
_cell_length_c 4.3563
_cell_angle_alpha 90.00
_cell_angle_beta 90.00
_cell_angle_gamma 90.00
_symmetry_space_group_name_H-M 'P 4/m m m'
_symmetry_Int_Tables_number 123
_symmetry_space_group_name_Hall '-P 4 2'
loop_
_atom_site_label
_atom_site_type_symbol
_atom_site_fract_x
_atom_site_fract_y
_atom_site_fract_z
Zr1 Zr 0.0000 0.0000 0.0000
Tl1 Tl 0.5000 0.5000 0.0000
Pb1 Pb 0.0000 0.5000 0.5000